(1)
Computed, not measured: a geometry-optimized Be3Te structure at the PBE level of DFT.

E_form (uncorrected): 839 meV per atom
ΔE to the lowest computed polymorph: 632 meV/atom

abc: 3.817 3.817 3.817
angles: 90.00 90.00 90.00
Fractional coordinates of all 4 atoms:
Be 0.000 0.000 0.500
Be 0.000 0.500 0.000
Be 0.500 0.000 0.000
Te 0.500 0.500 0.500

=====

(2)
Computed, not measured: a geometry-optimized KCrMo2 structure at the PBE level of DFT.

ΔE to the lowest computed polymorph: 416 meV/atom
formation enthalpy at 0 K: 1.22 eV/atom

abc: 2.647 5.382 10.841
angles: 90.00 90.00 90.00
Fractional coordinates of all 8 atoms:
K 0.000 0.000 0.000
K 0.500 0.500 0.500
Cr 0.000 0.000 0.500
Cr 0.500 0.500 0.000
Mo 0.000 0.500 0.208
Mo 0.000 0.500 0.792
Mo 0.500 0.000 0.292
Mo 0.500 0.000 0.708

=====

(3)
Computed, not measured: a geometry-optimized Zn2PdO structure at the PBE level of DFT.

E_form (uncorrected): -553 meV per atom

abc: 5.929 5.929 6.661
angles: 90.00 90.00 90.00
Fractional coordinates of all 16 atoms:
Zn 0.174 0.250 0.125
Zn 0.250 0.674 0.375
Zn 0.250 0.826 0.875
Zn 0.326 0.250 0.625
Zn 0.674 0.750 0.625
Zn 0.750 0.174 0.875
Zn 0.750 0.326 0.375
Zn 0.826 0.750 0.125
Pd 0.000 0.000 0.500
Pd 0.000 0.500 0.750
Pd 0.500 0.000 0.250
Pd 0.500 0.500 0.000
O 0.000 0.000 0.000
O 0.000 0.500 0.250
O 0.500 0.000 0.750
O 0.500 0.500 0.500

=====

(4)
Computed, not measured: a geometry-optimized Ho5BeZn4 structure at the PBE level of DFT.

formation enthalpy at 0 K: -0.25 eV/atom

abc: 3.509 3.509 17.692
angles: 90.00 90.00 90.00
Fractional coordinates of all 10 atoms:
Ho 0.000 0.000 0.000
Ho 0.000 0.000 0.204
Ho 0.000 0.000 0.408
Ho 0.000 0.000 0.592
Ho 0.000 0.000 0.796
Be 0.500 0.500 0.500
Zn 0.500 0.500 0.102
Zn 0.500 0.500 0.306
Zn 0.500 0.500 0.694
Zn 0.500 0.500 0.898

=====

(5)
Computed, not measured: a geometry-optimized RbTl5Pd3 structure at the PBE level of DFT.

formation enthalpy at 0 K: -0.10 eV/atom

abc: 7.417 7.417 15.328
angles: 90.00 90.00 143.29
Fractional coordinates of all 18 atoms:
Rb 0.160 0.840 0.750
Rb 0.840 0.160 0.250
Tl 0.000 0.000 0.000
Tl 0.000 0.000 0.500
Tl 0.213 0.787 0.083
Tl 0.213 0.787 0.417
Tl 0.451 0.549 0.652
Tl 0.451 0.549 0.848
Tl 0.549 0.451 0.152
Tl 0.549 0.451 0.348
Tl 0.787 0.213 0.583
Tl 0.787 0.213 0.917
Pd 0.116 0.884 0.250
Pd 0.396 0.604 0.027
Pd 0.396 0.604 0.473
Pd 0.604 0.396 0.527
Pd 0.604 0.396 0.973
Pd 0.884 0.116 0.750

=====

(6)
Computed, not measured: a geometry-optimized ZnTc2Au structure at the PBE level of DFT.

formation enthalpy at 0 K: 0.20 eV/atom

abc: 3.961 3.961 7.717
angles: 90.00 90.00 90.00
Fractional coordinates of all 8 atoms:
Zn 0.000 0.000 0.000
Zn 0.500 0.500 0.500
Tc 0.000 0.000 0.500
Tc 0.000 0.500 0.250
Tc 0.500 0.000 0.750
Tc 0.500 0.500 0.000
Au 0.000 0.500 0.750
Au 0.500 0.000 0.250

=====

no.,M_tot (Bohr magnetons per cell),V (Å³ per cell)
1,0.0,55.63
2,4.3,154.42
3,0.0,234.17
4,0.0,217.87
5,0.0,504.04
6,0.0,121.05